4
Lattice="0.000 3.394 3.394 3.394 0.000 3.394 3.394 3.394 0.000" Properties=species:S:1:pos:R:3 comment="BaTiNi2 | the Alexandria database | GGA-PBE | optimized geometry" final_energy_ev_per_atom=-4.81 magmom_total_mub_per_fu=0.0 e_form_mev_per_atom=537 pbc="T T T"
Ni 1.697 1.697 1.697
Ni 5.091 5.091 5.091
Ba 3.394 3.394 3.394
Ti 0.000 0.000 0.000

***

9
Lattice="-0.762 -2.660 3.471 -3.222 -3.047 -0.204 4.482 -7.826 -2.175" Properties=species:S:1:pos:R:3 comment="NiSb2Pd6 | the Alexandria database | GGA-PBE | optimized geometry" final_energy_ev_per_atom=-5.30 e_form_raw_ev_per_atom=-0.282 magmom_total_mub_per_fu=0.0 pbc="T T T"
Ni 0.000 0.000 0.000
Sb -2.302 -7.422 2.322
Sb 2.800 -6.111 -1.230
Pd -1.355 -5.131 1.447
Pd -0.556 -9.203 1.341
Pd 1.321 -11.116 0.287
Pd 1.054 -4.331 -0.249
Pd 1.853 -8.402 -0.355
Pd -0.823 -2.418 0.805

***

8
Lattice="3.968 0.000 0.000 0.000 4.527 0.000 0.000 0.000 10.981" Properties=species:S:1:pos:R:3 comment="Pr4IrPt3 | the Alexandria database | GGA-PBE | optimized geometry" final_energy_ev_per_atom=-6.75 magmom_total_mub_per_fu=0.0 e_form_mev_per_atom=-988 pbc="T T T"
Pr 1.984 2.263 3.902
Pr 0.000 2.263 9.512
Pr 0.000 0.000 1.521
Pr 1.984 0.000 6.998
Ir 1.984 2.263 0.948
Pt 0.000 2.263 6.444
Pt 0.000 0.000 4.561
Pt 1.984 0.000 10.037

***

16
Lattice="-2.717 -0.272 6.632 1.751 -6.987 0.431 5.037 4.844 -1.616" Properties=species:S:1:pos:R:3 comment="Pr4Th3TaN8 | the Alexandria database | GGA-PBE | optimized geometry" final_energy_ev_per_atom=-8.87 e_form_raw_ev_per_atom=-1.376 magmom_total_mub_per_fu=0.0 pbc="T T T"
Pr -1.359 -0.136 3.316
Pr 1.160 2.286 2.508
Pr 0.000 0.000 0.000
Pr 2.518 2.422 -0.808
Th -0.483 -3.630 3.531
Th 2.035 -1.208 2.723
Th 3.394 -1.072 -0.593
Ta 0.875 -3.494 0.215
N 5.630 -0.222 0.162
N 2.858 -2.889 1.052
N 2.356 0.535 0.987
N 4.135 -0.372 3.814
N -0.064 -2.044 1.633
N 1.715 -2.950 4.460
N 1.212 0.473 4.394
N -1.560 -2.193 5.284

***

4
Lattice="-3.555 -3.769 -0.515 -2.110 -2.183 4.229 -4.978 0.935 1.204" Properties=species:S:1:pos:R:3 comment="PmSmAlZn | the Alexandria database | GGA-PBE | optimized geometry" final_energy_ev_per_atom=-3.96 magmom_total_mub_per_fu=0.0 e_form_mev_per_atom=-343 pbc="T T T"
Zn 0.000 0.000 0.000
Al -5.322 -2.508 2.459
Sm -2.661 -1.254 1.230
Pm -7.983 -3.762 3.689

***

9
Lattice="5.453 -0.207 0.321 0.025 4.961 2.793 -0.331 0.073 5.683" Properties=species:S:1:pos:R:3 comment="Dy2MgCu6 | the Alexandria database | GGA-PBE | optimized geometry" final_energy_ev_per_atom=-4.08 magmom_total_mub_per_fu=0.0 e_form_mev_per_atom=-144 pbc="T T T"
Dy 4.393 3.182 5.922
Dy 0.754 1.645 2.875
Mg 0.000 0.000 0.000
Cu 1.620 1.835 5.776
Cu 1.630 4.025 7.007
Cu 1.777 3.994 4.499
Cu 3.527 2.993 3.022
Cu 3.517 0.803 1.791
Cu 3.370 0.834 4.298

***

Number 1: density of states at the Fermi level 5.9 states/eV per cell. Number 2: density of states at the Fermi level 5.4 states/eV per cell. Number 3: density of states at the Fermi level 5.6 states/eV per cell. Number 4: density of states at the Fermi level 6.8 states/eV per cell. Number 5: density of states at the Fermi level 4.0 states/eV per cell. Number 6: density of states at the Fermi level 5.3 states/eV per cell.